Record 1
LaTl2Cd | PBE | relaxed Values from VASP.

Values from the calculation:
Energy relative to the elements, eV per atom: -0.266
Space-group type: No. 8
E, eV/atom: -2.909

The structure in Quantum ESPRESSO input format:
```
&SYSTEM
  ibrav = 0, nat = 4, ntyp = 3
/
ATOMIC_SPECIES
Tl 204.38 Tl.upf
La 138.91 La.upf
Cd 112.41 Cd.upf
ATOMIC_POSITIONS crystal
Tl 0.0000 0.0000 0.0011
Tl 0.2500 0.2500 0.2506
La 0.7500 0.7500 0.7500
Cd 0.5000 0.5000 0.4983
CELL_PARAMETERS angstrom
5.9259 -0.0131 0.0260
3.9338 4.4319 0.0260
1.9537 0.8756 4.3703
```


Record 2
CeScTiIn | PBE | relaxed Values from VASP.

Values from the calculation:
Energy relative to the elements, eV per atom: -0.053
Space-group type: No. 216
E, eV/atom: -5.777

The structure in Quantum ESPRESSO input format:
```
&SYSTEM
  ibrav = 0, nat = 4, ntyp = 4
/
ATOMIC_SPECIES
Sc 44.96 Sc.upf
In 114.82 In.upf
Ce 140.12 Ce.upf
Ti 47.87 Ti.upf
ATOMIC_POSITIONS crystal
Sc 0.7500 0.7500 0.7500
In 0.5000 0.5000 0.5000
Ce 0.0000 0.0000 0.0000
Ti 0.2500 0.2500 0.2500
CELL_PARAMETERS angstrom
-3.8137 1.8616 -2.6399
-4.6506 -0.2463 1.8138
-2.3071 4.1593 1.5350
```


Record 3
TlHgSb2 | PBE | relaxed Values from VASP.

Values from the calculation:
Relative energy among the computed polymorphs, eV per atom: 0.081
Space-group type: No. 10
E, eV/atom: -2.608

The structure in Quantum ESPRESSO input format:
```
&SYSTEM
  ibrav = 0, nat = 4, ntyp = 3
/
ATOMIC_SPECIES
Tl 204.38 Tl.upf
Sb 121.76 Sb.upf
Hg 200.59 Hg.upf
ATOMIC_POSITIONS crystal
Tl 0.5000 0.2500 0.2500
Sb 0.0000 0.4937 0.5394
Sb 0.0000 0.0063 0.9606
Hg 0.5000 0.7500 0.7500
CELL_PARAMETERS angstrom
-1.1852 -4.2617 -2.5955
1.9420 -1.7901 2.0525
-3.9285 -2.3168 5.5980
```


Record 4
Mn2BSbPd | PBE | relaxed Values from VASP.

Values from the calculation:
Space-group type: No. 123
E, eV/atom: -5.411

The structure in Quantum ESPRESSO input format:
```
&SYSTEM
  ibrav = 0, nat = 5, ntyp = 4
/
ATOMIC_SPECIES
Pd 106.42 Pd.upf
Sb 121.76 Sb.upf
Mn 54.94 Mn.upf
B 10.81 B.upf
ATOMIC_POSITIONS crystal
Pd 0.5000 0.5000 0.5000
Sb 0.0000 0.0000 0.0000
Mn 0.5000 0.0000 0.0000
Mn 0.0000 0.0000 0.5000
B 0.0000 0.5000 0.0000
CELL_PARAMETERS angstrom
-0.6584 -1.1951 4.8094
-2.2527 -3.4938 -1.1765
4.2147 -2.6870 -0.0907
```


Record 5
Tm2Ga5Ir | PBE | relaxed Values from VASP.

Values from the calculation:
Energy relative to the elements, eV per atom: -0.463
Space-group type: No. 107
E, eV/atom: -4.580

The structure in Quantum ESPRESSO input format:
```
&SYSTEM
  ibrav = 0, nat = 8, ntyp = 3
/
ATOMIC_SPECIES
Ir 192.22 Ir.upf
Ga 69.72 Ga.upf
Tm 168.93 Tm.upf
ATOMIC_POSITIONS crystal
Ir 0.0000 0.9313 0.9313
Ga 0.0000 0.2426 0.2426
Ga 0.4284 0.7205 0.7205
Ga 0.0000 0.7205 0.2921
Ga 0.5716 0.2921 0.2921
Ga 0.0000 0.2921 0.7205
Tm 0.5000 0.2615 0.7615
Tm 0.5000 0.7615 0.2615
CELL_PARAMETERS angstrom
-0.8893 -3.4578 -4.7475
1.1248 -2.6465 5.1978
-4.6319 3.0515 2.1260
```


Record 6
TiSi2NiB | PBE | relaxed Values from VASP.

Values from the calculation:
Space-group type: No. 123
E, eV/atom: -5.439

The structure in Quantum ESPRESSO input format:
```
&SYSTEM
  ibrav = 0, nat = 5, ntyp = 4
/
ATOMIC_SPECIES
B 10.81 B.upf
Si 28.09 Si.upf
Ti 47.87 Ti.upf
Ni 58.69 Ni.upf
ATOMIC_POSITIONS crystal
B 0.5000 0.5000 0.5000
Si 0.5000 0.0000 0.0000
Si 0.0000 0.0000 0.5000
Ti 0.0000 0.5000 0.0000
Ni 0.0000 0.0000 0.0000
CELL_PARAMETERS angstrom
4.0928 0.0000 0.0000
0.0000 4.7732 0.0000
0.0000 0.0000 4.0928
```


Record 7
Y9HoTh2 | PBE | relaxed Values from VASP.

Values from the calculation:
Energy relative to the elements, eV per atom: 0.041
Space-group type: No. 123
E, eV/atom: -6.426

The structure in Quantum ESPRESSO input format:
```
&SYSTEM
  ibrav = 0, nat = 12, ntyp = 3
/
ATOMIC_SPECIES
Y 88.91 Y.upf
Th 232.04 Th.upf
Ho 164.93 Ho.upf
ATOMIC_POSITIONS crystal
Y 0.0000 0.5000 0.8318
Y 0.5000 0.0000 0.5000
Y 0.5000 0.5000 0.6672
Y 0.0000 0.5000 0.5000
Y 0.5000 0.5000 0.3328
Y 0.5000 0.5000 0.0000
Y 0.5000 0.0000 0.1682
Y 0.5000 0.0000 0.8318
Y 0.0000 0.5000 0.1682
Th 0.0000 0.0000 0.6659
Th 0.0000 0.0000 0.3341
Ho 0.0000 0.0000 0.0000
CELL_PARAMETERS angstrom
-3.1622 3.8719 -0.7330
-3.0055 -1.7619 3.6594
7.6341 8.1665 10.2019
```


Record 8
NdZnIn2 | PBE | relaxed Values from VASP.

Values from the calculation:
Energy relative to the elements, eV per atom: -0.380
Space-group type: No. 123
E, eV/atom: -3.260

The structure in Quantum ESPRESSO input format:
```
&SYSTEM
  ibrav = 0, nat = 4, ntyp = 3
/
ATOMIC_SPECIES
Zn 65.41 Zn.upf
In 114.82 In.upf
Nd 144.24 Nd.upf
ATOMIC_POSITIONS crystal
Zn 0.5000 0.0000 0.0000
In 0.0000 0.0000 0.5000
In 0.0000 0.5000 0.0000
Nd 0.5000 0.5000 0.5000
CELL_PARAMETERS angstrom
4.6214 0.0000 0.0000
0.0000 4.5857 0.0000
0.0000 0.0000 4.5857
```


Record 9
NaV2AgPb | PBE | relaxed Values from VASP.

Values from the calculation:
Energy relative to the elements, eV per atom: 1.251
Space-group type: No. 123
E, eV/atom: -3.973

The structure in Quantum ESPRESSO input format:
```
&SYSTEM
  ibrav = 0, nat = 5, ntyp = 4
/
ATOMIC_SPECIES
V 50.94 V.upf
Na 22.99 Na.upf
Pb 207.20 Pb.upf
Ag 107.87 Ag.upf
ATOMIC_POSITIONS crystal
V 0.5000 0.0000 0.0000
V 0.0000 0.0000 0.5000
Na 0.0000 0.5000 0.0000
Pb 0.0000 0.0000 0.0000
Ag 0.5000 0.5000 0.5000
CELL_PARAMETERS angstrom
5.2286 0.0000 0.0000
0.0000 5.5668 0.0000
0.0000 0.0000 5.2286
```


Record 10
Y5Er6 | PBE | relaxed Values from VASP.

Values from the calculation:
Energy relative to the elements, eV per atom: 0.120
Relative energy among the computed polymorphs, eV per atom: 0.000
Space-group type: No. 71
E, eV/atom: -5.307

The structure in Quantum ESPRESSO input format:
```
&SYSTEM
  ibrav = 0, nat = 11, ntyp = 2
/
ATOMIC_SPECIES
Er 167.26 Er.upf
Y 88.91 Y.upf
ATOMIC_POSITIONS crystal
Er 0.7048 0.2049 0.2049
Er 0.2048 0.3415 0.0684
Er 0.7952 0.6585 0.9316
Er 0.7952 0.9316 0.6585
Er 0.2048 0.0684 0.3415
Er 0.2952 0.7951 0.7951
Y 0.0000 0.3388 0.6612
Y 0.5000 0.2018 0.7982
Y 0.0000 0.6612 0.3388
Y 0.5000 0.7982 0.2018
Y 0.5000 0.5000 0.5000
CELL_PARAMETERS angstrom
5.2104 -0.9165 -1.4714
-2.3719 8.3277 -3.3384
-0.4744 -1.0322 9.2103
```


Record 11
Pa2CuMoN5 | PBE | relaxed Values from VASP.

Values from the calculation:
Space-group type: No. 36
E, eV/atom: -9.263

The structure in Quantum ESPRESSO input format:
```
&SYSTEM
  ibrav = 0, nat = 18, ntyp = 4
/
ATOMIC_SPECIES
N 14.01 N.upf
Pa 231.04 Pa.upf
Cu 63.55 Cu.upf
Mo 95.94 Mo.upf
ATOMIC_POSITIONS crystal
N 0.2923 0.5846 0.6545
N 0.6973 0.3946 0.8542
N 0.3542 0.7083 0.0074
N 0.9475 0.8949 0.5661
N 0.4952 0.9904 0.7730
N 0.7077 0.4154 0.1545
N 0.3027 0.6054 0.3542
N 0.6458 0.2917 0.5074
N 0.0525 0.1051 0.0661
N 0.5048 0.0096 0.2730
Pa 0.1342 0.2685 0.3028
Pa 0.8658 0.7315 0.8028
Pa 0.1189 0.2377 0.6901
Pa 0.8811 0.7623 0.1901
Cu 0.5124 0.0248 0.9724
Cu 0.4876 0.9752 0.4724
Mo 0.8110 0.6221 0.5034
Mo 0.1890 0.3779 0.0034
CELL_PARAMETERS angstrom
-2.9688 -1.4027 -0.1414
3.7646 -3.6816 -4.3205
2.5112 -6.0556 7.3481
```


Record 12
SrCoSe2 | PBE | relaxed Values from VASP.

Values from the calculation:
Relative energy among the computed polymorphs, eV per atom: 0.986
Space-group type: No. 216
E, eV/atom: -3.879

The structure in Quantum ESPRESSO input format:
```
&SYSTEM
  ibrav = 0, nat = 4, ntyp = 3
/
ATOMIC_SPECIES
Co 58.93 Co.upf
Sr 87.62 Sr.upf
Se 78.96 Se.upf
ATOMIC_POSITIONS crystal
Co 0.5000 0.5000 0.5000
Sr 0.2500 0.2500 0.2500
Se 0.0000 0.0000 0.0000
Se 0.7500 0.7500 0.7500
CELL_PARAMETERS angstrom
-4.1225 2.3069 -1.7335
-1.8761 -1.2459 -4.5000
-4.3491 -2.5128 -0.3046
```


Record 13
SnB3Br | PBE | relaxed Values from VASP.

Values from the calculation:
Relative energy among the computed polymorphs, eV per atom: 0.280
Space-group type: No. 221
E, eV/atom: -2.835

The structure in Quantum ESPRESSO input format:
```
&SYSTEM
  ibrav = 0, nat = 5, ntyp = 3
/
ATOMIC_SPECIES
Sn 118.71 Sn.upf
B 10.81 B.upf
Br 79.90 Br.upf
ATOMIC_POSITIONS crystal
Sn 0.5000 0.5000 0.5000
B 0.5000 0.0000 0.0000
B 0.0000 0.0000 0.5000
B 0.0000 0.5000 0.0000
Br 0.0000 0.0000 0.0000
CELL_PARAMETERS angstrom
-0.6623 -4.1396 0.7032
2.3074 -0.9536 -3.4403
3.5080 -0.1543 2.3956
```